The following is a meta-GGA SCAN calculation of ZrPbAu2 at its PBEsol-relaxed geometry, from the Alexandria database.

Lattice parameters (Å, degrees): 4.826 4.826 4.826 60.00 60.00 60.00
Element x y z (fractional)
Au1 0.000 0.000 0.000
Au2 0.250 0.250 0.250
Pb1 0.500 0.500 0.500
Zr1 0.750 0.750 0.750

The following is a meta-GGA SCAN calculation of V2ZnO4 at its PBEsol-relaxed geometry, from the Alexandria database.

Results
ΔE_f (raw) (eV/atom): -2.392

Lattice parameters (Å, degrees): 5.893 5.893 5.893 60.00 60.00 60.00
Element x y z (fractional)
V1 0.125 0.625 0.625
V2 0.625 0.625 0.625
V3 0.625 0.125 0.625
V4 0.625 0.625 0.125
Zn1 0.250 0.250 0.250
Zn2 0.000 0.000 0.000
O1 0.385 0.385 0.846
O2 0.865 0.404 0.865
O3 0.404 0.865 0.865
O4 0.865 0.865 0.865
O5 0.846 0.385 0.385
O6 0.385 0.385 0.385
O7 0.865 0.865 0.404
O8 0.385 0.846 0.385

The following is a meta-GGA SCAN calculation of CdIn at its PBEsol-relaxed geometry, from the Alexandria database.

Lattice parameters (Å, degrees): 3.179 3.179 9.166 90.00 90.00 90.00
Element x y z (fractional)
In1 0.500 0.000 0.637
In2 0.000 0.500 0.363
Cd1 0.500 0.000 0.113
Cd2 0.000 0.500 0.887

| no. | E_tot (eV per atom) |
| --- | --- |
| 1 | -61.422 |
| 2 | -12.880 |
| 3 | -31.849 |